Record 1
VCd6O8: optimized geometry, PBE with a Hubbard U.

Values from the calculation:
The energy comes out at -4.6657 eV/atom.

Lattice parameters (Å, degrees): 6.6807 6.6807 6.6807 60.00 60.00 60.00
Last column: nearest neighbours and their distance in Å.
Element x y z (fractional)
O: 0.2500 0.2500 0.2500  6 Cd 2.36
O: 0.7899 0.7899 0.2101  1 V 1.98
O: 0.7899 0.2101 0.7899  1 V 1.98
O: 0.2101 0.2101 0.7899  1 V 1.98
O: 0.2101 0.7899 0.7899  1 V 1.98
O: 0.2101 0.7899 0.2101  1 V 1.98
O: 0.7899 0.2101 0.2101  1 V 1.98
O: 0.7500 0.7500 0.7500  6 Cd 2.36
Cd: 0.0000 0.5000 0.0000  6 O 2.36-2.39
Cd: 0.5000 0.0000 0.5000  6 O 2.36-2.39
Cd: 0.5000 0.0000 0.0000  6 O 2.36-2.39
Cd: 0.0000 0.5000 0.5000  6 O 2.36-2.39
Cd: 0.0000 0.0000 0.5000  6 O 2.36-2.39
Cd: 0.5000 0.5000 0.0000  6 O 2.36-2.39
V: 0.0000 0.0000 0.0000  6 O 1.98

Record 2
V2Cd2O7: optimized geometry, PBE with a Hubbard U.

Values from the calculation:
The energy comes out at -6.3154 eV/atom.

Lattice parameters (Å, degrees): 5.8347 5.8347 5.1002 81.72 81.72 104.46
Last column: nearest neighbours and their distance in Å.
Element x y z (fractional)
O: 0.9207 0.6106 0.7182  1 V 1.73
O: 0.3972 0.3972 0.7892  1 V 1.74
O: 0.0793 0.3894 0.2818  1 V 1.73
O: 0.0000 0.0000 0.0000  2 V 1.79
O: 0.6028 0.6028 0.2108  1 V 1.74
O: 0.6106 0.9207 0.7182  1 V 1.73
O: 0.3894 0.0793 0.2818  1 V 1.73
V: 0.7741 0.7741 0.9063  4 O 1.73-1.79
V: 0.2259 0.2259 0.0937  4 O 1.73-1.79
Cd: 0.3079 0.6921 0.5000  6 O 2.27-2.44
Cd: 0.6921 0.3079 0.5000  6 O 2.27-2.44

Record 3
V2CdO: optimized geometry, PBE with a Hubbard U.

Values from the calculation:
The energy comes out at -5.3823 eV/atom. As for the offset from the most stable computed form: 0.000 eV/atom.

Lattice parameters (Å, degrees): 6.3135 6.3135 5.7688 56.82 56.82 90.00
Last column: nearest neighbours and their distance in Å.
Element x y z (fractional)
V: 0.3750 0.4961 0.7500  2 O 2.00
V: 0.8750 0.7539 0.7500  2 O 2.00
V: 0.5039 0.1250 0.2500  2 O 2.00
V: 0.2461 0.6250 0.2500  2 O 2.00
O: 0.5000 0.5000 0.0000  4 V 2.00
O: 0.2500 0.7500 0.5000  4 V 2.00
Cd: 0.0000 0.0000 0.0000  8 V 2.97-3.27
Cd: 0.7500 0.2500 0.5000  8 V 2.97-3.27

Record 4
VCd2O4: optimized geometry, PBE with a Hubbard U.

Values from the calculation:
The energy comes out at -5.5523 eV/atom. As for the offset from the most stable computed form: 0.055 eV/atom.

Lattice parameters (Å, degrees): 3.1761 5.7399 5.9055 121.29 105.60 90.00
Last column: nearest neighbours and their distance in Å.
Element x y z (fractional)
Cd: 0.3167 0.3178 0.6335  3 O 2.20-2.24
Cd: 0.6833 0.6822 0.3665  3 O 2.20-2.24
O: 0.6221 0.2468 0.2442  2 V 2.08, 1 Cd 2.20
O: 0.1041 0.8376 0.2081  1 V 1.86
O: 0.3779 0.7532 0.7558  2 V 2.08, 1 Cd 2.20
O: 0.8959 0.1624 0.7919  1 V 1.86
V: 0.0000 0.0000 0.0000  6 O 1.86-2.08